DFT (meta-GGA SCAN) results for a PBEsol-optimized structure of POsO2F.

## Properties
**M_tot**: 0.0 μB per formula unit
**Formation energy without anion corrections**: -555 meV/atom
**ρ**: 6.898 g cm⁻³
**D(E_F)**: 0.294 states/eV/atom
**E**: -101.05 eV for the cell shown

Lattice parameters (Å, degrees): 3.6761 3.6761 4.8488 90.00 90.00 90.00
Last column: nearest neighbours and their distance in Å.
Space group P4/mmm (No. 123)
Asymmetric unit:
P  0.0000  0.0000  0.0000  2 Os 2.42, 4 F 2.60
Os  0.0000  0.0000  0.5000  4 O 1.84
O  0.0000  0.5000  0.5000  2 Os 1.84
F  0.5000  0.5000  0.0000  4 P 2.60